(1)
Material: K2NaOs3O12
Method: DFT, PBE-GGA
State: optimized geometry

a b c (Å): 7.085 7.085 7.085
angles (deg): 62.34 62.34 62.34
Sites, in units of the cell vectors:
O  0.274  0.274  0.890
O  0.464  0.865  0.865
O  0.890  0.274  0.274
O  0.135  0.536  0.135
O  0.274  0.890  0.274
O  0.865  0.464  0.865
O  0.726  0.726  0.110
O  0.726  0.110  0.726
O  0.110  0.726  0.726
O  0.536  0.135  0.135
O  0.865  0.865  0.464
O  0.135  0.135  0.536
Na  0.000  0.000  0.000
K  0.608  0.608  0.608
K  0.392  0.392  0.392
Os  0.500  0.000  0.000
Os  0.000  0.000  0.500
Os  0.000  0.500  0.000

---

(2)
Material: KNa2OsO5
Method: DFT, PBE-GGA
State: optimized geometry

a b c (Å): 3.852 5.969 6.573
angles (deg): 117.00 107.04 90.00
Each line ends with the local moment (μB).
Sites, in units of the cell vectors:
K  0.000  0.500  0.000  0.00
O  0.378  0.100  0.756  0.12
O  0.622  0.900  0.244  0.12
O  0.622  0.343  0.244  0.12
O  0.378  0.657  0.756  0.12
O  0.000  0.000  0.000  -0.04
Na  0.228  0.228  0.455  0.00
Na  0.772  0.772  0.545  0.00
Os  0.500  0.000  0.000  0.47

---

Sequential raw formation energy output: -1194 -1374 meV per atom
Sequential final energy output: -6.57 -5.79 eV/atom